[1]
Here is crystalline Sm3ZnRh3 at its relaxed geometry from Alexandria. Energies are from GGA-PBE.

```
Sm3ZnRh3
1.0
4.1537 0.0000 0.0000
-2.0769 5.1970 0.0000
0.0000 0.0000 13.9210
Sm Zn Rh
6 2 6
Cartesian
0.0000 2.0635 12.4760
2.0768 3.1334 1.4450
0.0000 2.0635 8.4054
2.0768 3.1334 5.5155
0.0000 4.9516 10.4407
2.0768 0.2453 3.4802
2.0769 0.0000 0.0000
2.0769 0.0000 6.9605
2.0768 4.2784 12.6769
0.0000 0.9185 1.2440
2.0768 4.2784 8.2045
0.0000 0.9185 5.7165
2.0769 2.6308 10.4407
0.0000 2.5661 3.4802
```

Output
Energy of formation   -720.9 meV/atom
Space group   Cmcm, No. 63
Fermi-level density of states   10.81 states/eV/cell
M_tot   0.00 Bohr magnetons per cell



[2]
Here is crystalline KVNi3 at its relaxed geometry from Alexandria. Energies are from GGA-PBE.

```
KVNi3
1.0
-0.6541 4.2313 1.4897
-3.0370 -1.5257 3.0000
3.3015 -0.5651 3.0548
Ni K V
3 1 1
Cartesian
-1.5185 -0.7628 1.5000
1.6507 -0.2825 1.5274
-0.3271 2.1156 0.7448
-0.1948 1.0703 3.7722
0.0000 0.0000 0.0000
```

Output
Energy of formation   927.7 meV/atom
Space group   Pm-3m, No. 221
Relative energy among the computed polymorphs   0 meV/atom
Fermi-level density of states   5.25 states/eV/cell
M_tot   0.97 Bohr magnetons per cell



[3]
Here is crystalline ZnRe2Ag at its relaxed geometry from Alexandria. Energies are from GGA-PBE.

```
ZnRe2Ag
1.0
-5.0517 0.0230 -1.2469
-4.5264 -2.5376 -0.3836
-2.1514 0.9089 4.0048
Ag Re Zn
1 2 1
Cartesian
-2.9324 -0.4014 0.5936
-2.2921 0.8556 3.9324
-5.7240 -0.7496 1.2595
-8.7971 -1.2043 1.7807
```

Output
Energy of formation   440.6 meV/atom
Space group   C2/m, No. 12
Fermi-level density of states   2.43 states/eV/cell
M_tot   0.00 Bohr magnetons per cell



[4]
Here is crystalline Ac2Al3Zn2 at its relaxed geometry from Alexandria. Energies are from GGA-PBE.

```
Ac2Al3Zn2
1.0
4.6304 0.0000 -1.1039
0.0000 7.2983 0.0000
0.0079 0.0000 10.2962
Ac Al Zn
4 6 4
Cartesian
0.7622 1.8246 3.1969
3.8762 5.4737 5.9954
4.4041 1.8246 8.2099
0.2342 5.4737 0.9824
1.0283 5.4737 4.3130
3.6101 1.8246 4.8793
2.5916 3.1084 0.6075
2.0467 4.1899 8.5849
2.0467 6.7575 8.5849
2.5916 0.5408 0.6075
3.1532 6.7905 2.9629
1.4852 0.5078 6.2294
1.4852 3.1414 6.2294
3.1532 4.1569 2.9629
```

Output
Energy of formation   -329.3 meV/atom
Space group   Cmcm, No. 63
Relative energy among the computed polymorphs   0 meV/atom
Fermi-level density of states   8.21 states/eV/cell
M_tot   0.00 Bohr magnetons per cell



Calculated ρ (g cm⁻³), listed in the same order as above: 9.1, 4.7, 14.6, 6.4
Calculated uncorrected energy (Ry/atom), listed in the same order as above: -0.4466, -0.3369, -0.5009, -0.2551